# 1
Computed, not measured: Nd2SmEr6Tm after structural relaxation at the PBE level of DFT.

a = 8.7327 Å, b = 8.7327 Å, c = 9.6377 Å
α = 94.49°, β = 94.49°, γ = 118.04°
Closest atoms and distances in Å follow each position.
Fractional positions:
Nd  0.1949  0.2981  0.0434  6 Er 3.25-3.64, 2 Sm 3.35-3.36, 1 Tm 3.53
Nd  0.2981  0.1949  0.5434  6 Er 3.25-3.64, 2 Sm 3.35-3.36, 1 Tm 3.53
Nd  0.7019  0.8051  0.4566  6 Er 3.25-3.64, 2 Sm 3.35-3.36, 1 Tm 3.53
Nd  0.8051  0.7019  0.9566  6 Er 3.25-3.64, 2 Sm 3.35-3.36, 1 Tm 3.53
Sm  0.0182  0.9818  0.2500  4 Nd 3.35-3.36, 4 Er 3.58-3.65
Sm  0.9818  0.0182  0.7500  4 Nd 3.35-3.36, 4 Er 3.58-3.65
Er  0.0205  0.5731  0.1868  2 Er 3.21-3.55, 1 Nd 3.38, 1 Tm 3.44, 1 Sm 3.58
Er  0.1247  0.7417  0.5577  8 Er 3.39-3.75, 1 Nd 3.53, 1 Sm 3.65, 1 Tm 3.73
Er  0.2583  0.8753  0.9423  8 Er 3.39-3.75, 1 Nd 3.53, 1 Sm 3.65, 1 Tm 3.73
Er  0.2939  0.5065  0.3816  4 Er 3.21-3.46, 3 Nd 3.25-3.44, 2 Tm 3.41-3.53
Er  0.4269  0.9795  0.3132  2 Er 3.21-3.55, 1 Nd 3.38, 1 Tm 3.44, 1 Sm 3.58
Er  0.4935  0.7061  0.1184  4 Er 3.21-3.46, 3 Nd 3.25-3.44, 2 Tm 3.41-3.53
Er  0.5065  0.2939  0.8816  4 Er 3.21-3.46, 3 Nd 3.25-3.44, 2 Tm 3.41-3.53
Er  0.5731  0.0205  0.6868  2 Er 3.21-3.55, 1 Nd 3.38, 1 Tm 3.44, 1 Sm 3.58
Er  0.7061  0.4935  0.6184  4 Er 3.21-3.46, 3 Nd 3.25-3.44, 2 Tm 3.41-3.53
Er  0.7417  0.1247  0.0577  8 Er 3.39-3.75, 1 Nd 3.53, 1 Sm 3.65, 1 Tm 3.73
Er  0.8753  0.2583  0.4423  8 Er 3.39-3.75, 1 Nd 3.53, 1 Sm 3.65, 1 Tm 3.73
Er  0.9795  0.4269  0.8132  2 Er 3.21-3.55, 1 Nd 3.38, 1 Tm 3.44, 1 Sm 3.58
Tm  0.4073  0.5927  0.7500  8 Er 3.41-3.73, 2 Nd 3.53
Tm  0.5927  0.4073  0.2500  8 Er 3.41-3.73, 2 Nd 3.53

## Properties
- Symmetry: C2/c (15)
- Energy of formation: 0.117 eV/atom
- Density of states at the Fermi level: 1.3332 states/eV per atom
- Volume: 641 Å³ per cell

***

# 2
Computed, not measured: Nd6Sm3ErTm2 after structural relaxation at the PBE level of DFT.

a = 6.2898 Å, b = 6.2898 Å, c = 11.9073 Å
α = 95.04°, β = 95.04°, γ = 120.01°
Closest atoms and distances in Å follow each position.
Fractional positions:
Nd  0.0840  0.4175  0.7538  2 Tm 3.56-3.57, 1 Er 3.57, 6 Nd 3.63, 3 Sm 3.64
Nd  0.2490  0.2490  0.2462  1 Er 3.57, 2 Tm 3.57, 6 Nd 3.63, 3 Sm 3.64
Nd  0.4175  0.0840  0.7538  2 Tm 3.56-3.57, 1 Er 3.57, 6 Nd 3.63, 3 Sm 3.64
Nd  0.5825  0.9160  0.2462  2 Tm 3.56-3.57, 1 Er 3.57, 6 Nd 3.63, 3 Sm 3.64
Nd  0.7510  0.7510  0.7538  1 Er 3.57, 2 Tm 3.57, 6 Nd 3.63, 3 Sm 3.64
Nd  0.9160  0.5825  0.2462  2 Tm 3.56-3.57, 1 Er 3.57, 6 Nd 3.63, 3 Sm 3.64
Sm  0.0000  0.0000  0.5000  6 Sm 3.63, 6 Nd 3.64
Sm  0.3333  0.6667  0.5000  6 Sm 3.63, 6 Nd 3.64
Sm  0.6667  0.3333  0.5000  6 Sm 3.63, 6 Nd 3.64
Er  0.5000  0.5000  0.0000  6 Nd 3.57, 6 Tm 3.63
Tm  0.1666  0.8334  0.0000  6 Nd 3.56-3.57, 3 Er 3.63, 3 Tm 3.63
Tm  0.8334  0.1666  0.0000  6 Nd 3.56-3.57, 3 Er 3.63, 3 Tm 3.63

## Properties
- Symmetry: C2/m (12)
- Energy of formation: 0.015 eV/atom
- Density of states at the Fermi level: 1.1818 states/eV per atom
- Volume: 402 Å³ per cell

***

# 3
Computed, not measured: NdSm6Er3Tm2 after structural relaxation at the PBE level of DFT.

a = 6.2036 Å, b = 6.2036 Å, c = 11.8062 Å
α = 95.01°, β = 95.01°, γ = 119.98°
Closest atoms and distances in Å follow each position.
Fractional positions:
Nd  0.0000  0.0000  0.0000  6 Sm 3.58-3.59, 6 Tm 3.58
Sm  0.0843  0.4186  0.2515  3 Er 3.55-3.56, 6 Sm 3.58-3.59, 2 Tm 3.58, 1 Nd 3.59
Sm  0.2499  0.2499  0.7487  3 Er 3.55-3.56, 6 Sm 3.58-3.59, 2 Tm 3.58, 1 Nd 3.58
Sm  0.4186  0.0843  0.2515  3 Er 3.55-3.56, 6 Sm 3.58-3.59, 2 Tm 3.58, 1 Nd 3.59
Sm  0.5814  0.9157  0.7485  3 Er 3.55-3.56, 6 Sm 3.58-3.59, 2 Tm 3.58, 1 Nd 3.59
Sm  0.7501  0.7501  0.2513  3 Er 3.55-3.56, 6 Sm 3.58-3.59, 2 Tm 3.58, 1 Nd 3.58
Sm  0.9157  0.5814  0.7485  3 Er 3.55-3.56, 6 Sm 3.58-3.59, 2 Tm 3.58, 1 Nd 3.59
Er  0.1670  0.8330  0.5000  6 Sm 3.55-3.56, 6 Er 3.58-3.59
Er  0.5000  0.5000  0.5000  6 Sm 3.55, 6 Er 3.58
Er  0.8330  0.1670  0.5000  6 Sm 3.55-3.56, 6 Er 3.58-3.59
Tm  0.3334  0.6666  0.0000  6 Sm 3.58, 3 Tm 3.58, 3 Nd 3.58
Tm  0.6666  0.3334  0.0000  6 Sm 3.58, 3 Tm 3.58, 3 Nd 3.58

## Properties
- Symmetry: C2/m (12)
- Energy of formation: 0.017 eV/atom
- Density of states at the Fermi level: 1.1812 states/eV per atom
- Volume: 388 Å³ per cell

***

# 4
Computed, not measured: Nd3Sm2YEr6 after structural relaxation at the PBE level of DFT.

a = 6.2057 Å, b = 6.2057 Å, c = 11.7739 Å
α = 95.02°, β = 95.02°, γ = 119.98°
Closest atoms and distances in Å follow each position.
Fractional positions:
Nd  0.0000  0.0000  0.0000  6 Er 3.57-3.58, 6 Nd 3.58
Nd  0.3334  0.6666  0.0000  6 Er 3.57-3.58, 6 Nd 3.58
Nd  0.6666  0.3334  0.0000  6 Er 3.57-3.58, 6 Nd 3.58
Sm  0.1665  0.8335  0.5000  6 Er 3.54-3.55, 3 Sm 3.58-3.59, 3 Y 3.58
Sm  0.8335  0.1665  0.5000  6 Er 3.54-3.55, 3 Sm 3.58-3.59, 3 Y 3.58
Y  0.5000  0.5000  0.5000  6 Er 3.55, 6 Sm 3.58
Er  0.0830  0.4168  0.2516  2 Sm 3.54-3.55, 1 Y 3.55, 3 Nd 3.57-3.58, 6 Er 3.58-3.59
Er  0.2496  0.2496  0.7486  1 Y 3.55, 2 Sm 3.55, 3 Nd 3.57, 6 Er 3.58-3.59
Er  0.4168  0.0830  0.2516  2 Sm 3.54-3.55, 1 Y 3.55, 3 Nd 3.57-3.58, 6 Er 3.58-3.59
Er  0.5832  0.9170  0.7484  2 Sm 3.54-3.55, 1 Y 3.55, 3 Nd 3.57-3.58, 6 Er 3.58-3.59
Er  0.7504  0.7504  0.2514  1 Y 3.55, 2 Sm 3.55, 3 Nd 3.57, 6 Er 3.58-3.59
Er  0.9170  0.5832  0.7484  2 Sm 3.54-3.55, 1 Y 3.55, 3 Nd 3.57-3.58, 6 Er 3.58-3.59

## Properties
- Symmetry: C2/m (12)
- Energy of formation: 0.017 eV/atom
- Density of states at the Fermi level: 1.1974 states/eV per atom
- Volume: 387 Å³ per cell

***

# 5
Computed, not measured: NdSm3Y6Er2 after structural relaxation at the PBE level of DFT.

a = 6.2069 Å, b = 6.2069 Å, c = 11.8568 Å
α = 94.99°, β = 94.99°, γ = 119.96°
Closest atoms and distances in Å follow each position.
Fractional positions:
Nd  0.0000  0.0000  0.0000  6 Y 3.57, 6 Er 3.58-3.59
Sm  0.1670  0.8330  0.5000  6 Sm 3.58-3.59, 6 Y 3.59
Sm  0.5000  0.5000  0.5000  6 Sm 3.58-3.59, 6 Y 3.59
Sm  0.8330  0.1670  0.5000  6 Sm 3.58-3.59, 6 Y 3.59
Y  0.0833  0.4173  0.2487  2 Er 3.56-3.57, 1 Nd 3.57, 6 Y 3.58-3.59, 3 Sm 3.59
Y  0.2509  0.2509  0.7513  2 Er 3.57, 1 Nd 3.57, 6 Y 3.58-3.59, 3 Sm 3.59
Y  0.4173  0.0833  0.2487  2 Er 3.56-3.57, 1 Nd 3.57, 6 Y 3.58-3.59, 3 Sm 3.59
Y  0.5827  0.9167  0.7513  2 Er 3.56-3.57, 1 Nd 3.57, 6 Y 3.58-3.59, 3 Sm 3.59
Y  0.7491  0.7491  0.2487  2 Er 3.57, 1 Nd 3.57, 6 Y 3.58-3.59, 3 Sm 3.59
Y  0.9167  0.5827  0.7513  2 Er 3.56-3.57, 1 Nd 3.57, 6 Y 3.58-3.59, 3 Sm 3.59
Er  0.3333  0.6667  0.0000  6 Y 3.56-3.57, 3 Nd 3.58-3.59, 3 Er 3.58
Er  0.6667  0.3333  0.0000  6 Y 3.56-3.57, 3 Nd 3.58-3.59, 3 Er 3.58

## Properties
- Symmetry: C2/m (12)
- Energy of formation: 0.017 eV/atom
- Density of states at the Fermi level: 1.3598 states/eV per atom
- Volume: 390 Å³ per cell

***

# 6
Computed, not measured: Nd2Sm5YEr after structural relaxation at the PBE level of DFT.

a = 10.2051 Å, b = 10.2051 Å, c = 10.2051 Å
α = 129.83°, β = 129.83°, γ = 73.68°
Closest atoms and distances in Å follow each position.
Fractional positions:
Nd  0.1201  0.6201  0.7401  1 Nd 2.94, 2 Sm 3.07
Nd  0.3799  0.1201  0.5000  1 Nd 2.94, 2 Sm 3.07
Nd  0.6201  0.8799  0.5000  1 Nd 2.94, 2 Sm 3.07
Nd  0.8799  0.3799  0.2599  1 Nd 2.94, 2 Sm 3.07
Sm  0.0000  0.0000  0.0000  4 Nd 3.45, 8 Sm 3.86
Sm  0.0732  0.1432  0.5000  1 Nd 3.07, 1 Er 3.17
Sm  0.1432  0.6432  0.0700  1 Nd 3.07, 1 Er 3.17
Sm  0.3568  0.4268  0.5000  1 Nd 3.07, 1 Er 3.17
Sm  0.4268  0.9268  0.0700  1 Nd 3.07, 1 Er 3.17
Sm  0.5000  0.5000  0.0000  4 Nd 3.45, 8 Sm 3.86
Sm  0.5732  0.0732  0.9300  1 Nd 3.07, 1 Er 3.17
Sm  0.6432  0.5732  0.5000  1 Nd 3.07, 1 Er 3.17
Sm  0.8568  0.3568  0.9300  1 Nd 3.07, 1 Er 3.17
Sm  0.9268  0.8568  0.5000  1 Nd 3.07, 1 Er 3.17
Y  0.2500  0.2500  0.0000  8 Sm 3.56
Y  0.7500  0.7500  0.0000  8 Sm 3.56
Er  0.2500  0.7500  0.5000  4 Sm 3.17
Er  0.7500  0.2500  0.5000  4 Sm 3.17

## Properties
- Symmetry: I4/mcm (140)
- Energy of formation: 0.273 eV/atom
- Density of states at the Fermi level: 1.4809 states/eV per atom
- Volume: 612 Å³ per cell

***

# 7
Computed, not measured: Nd2SmY2Er after structural relaxation at the PBE level of DFT.

a = 6.6750 Å, b = 18.0486 Å, c = 3.3992 Å
α = 90.00°, β = 90.00°, γ = 90.00°
Closest atoms and distances in Å follow each position.
Fractional positions:
Nd  0.2330  0.1826  0.0000  4 Y 3.38-3.51, 2 Nd 3.40, 1 Er 3.64
Nd  0.2670  0.6826  0.5000  4 Y 3.38-3.51, 2 Nd 3.40, 1 Er 3.64
Nd  0.7330  0.3174  0.5000  4 Y 3.38-3.51, 2 Nd 3.40, 1 Er 3.64
Nd  0.7670  0.8174  0.0000  4 Y 3.38-3.51, 2 Nd 3.40, 1 Er 3.64
Sm  0.0000  0.5000  0.0000  2 Sm 3.40, 4 Y 3.51, 4 Er 3.75
Sm  0.5000  0.0000  0.5000  2 Sm 3.40, 4 Y 3.51, 4 Er 3.75
Y  0.2301  0.3526  0.5000  1 Er 3.21, 4 Nd 3.38-3.51, 2 Y 3.40, 2 Sm 3.51
Y  0.2699  0.8526  0.0000  1 Er 3.21, 4 Nd 3.38-3.51, 2 Y 3.40, 2 Sm 3.51
Y  0.7301  0.1474  0.0000  1 Er 3.21, 4 Nd 3.38-3.51, 2 Y 3.40, 2 Sm 3.51
Y  0.7699  0.6474  0.5000  1 Er 3.21, 4 Nd 3.38-3.51, 2 Y 3.40, 2 Sm 3.51
Er  0.0000  0.0000  0.0000  2 Y 3.21, 2 Er 3.40
Er  0.5000  0.5000  0.5000  2 Y 3.21, 2 Er 3.40

## Properties
- Symmetry: Pnnm (58)
- Energy of formation: 0.274 eV/atom
- Density of states at the Fermi level: 1.7386 states/eV per atom
- Volume: 410 Å³ per cell

***

# 8
Computed, not measured: Nd6SmY2Er after structural relaxation at the PBE level of DFT.

a = 8.9893 Å, b = 8.9893 Å, c = 9.5968 Å
α = 93.22°, β = 93.22°, γ = 116.84°
Closest atoms and distances in Å follow each position.
Fractional positions:
Nd  0.0058  0.5607  0.1873  1 Nd 3.28, 1 Er 3.47, 1 Y 3.51, 1 Sm 3.57
Nd  0.1151  0.7630  0.5571  7 Nd 3.49-3.76, 1 Y 3.55, 2 Sm 3.70-3.77
Nd  0.2370  0.8849  0.9429  7 Nd 3.49-3.76, 1 Y 3.55, 2 Sm 3.70-3.77
Nd  0.2931  0.5189  0.3841  4 Nd 3.28-3.63, 3 Y 3.34-3.53, 2 Er 3.49-3.55
Nd  0.4393  0.9942  0.3127  1 Nd 3.28, 1 Er 3.47, 1 Y 3.51, 1 Sm 3.57
Nd  0.4811  0.7069  0.1159  4 Nd 3.28-3.63, 3 Y 3.34-3.53, 2 Er 3.49-3.55
Nd  0.5189  0.2931  0.8841  4 Nd 3.28-3.63, 3 Y 3.34-3.53, 2 Er 3.49-3.55
Nd  0.5607  0.0058  0.6873  1 Nd 3.28, 1 Er 3.47, 1 Y 3.51, 1 Sm 3.57
Nd  0.7069  0.4811  0.6159  4 Nd 3.28-3.63, 3 Y 3.34-3.53, 2 Er 3.49-3.55
Nd  0.7630  0.1151  0.0571  7 Nd 3.49-3.76, 1 Y 3.55, 2 Sm 3.70-3.77
Nd  0.8849  0.2370  0.4429  7 Nd 3.49-3.76, 1 Y 3.55, 2 Sm 3.70-3.77
Nd  0.9942  0.4393  0.8127  1 Nd 3.28, 1 Er 3.47, 1 Y 3.51, 1 Sm 3.57
Sm  0.0322  0.9678  0.2500  4 Y 3.43-3.53, 6 Nd 3.57-3.77
Sm  0.9678  0.0322  0.7500  4 Y 3.43-3.53, 6 Nd 3.57-3.77
Y  0.2040  0.2988  0.0496  5 Nd 3.34-3.55, 2 Sm 3.43-3.53, 1 Er 3.54
Y  0.2988  0.2040  0.5496  5 Nd 3.34-3.55, 2 Sm 3.43-3.53, 1 Er 3.54
Y  0.7012  0.7960  0.4504  5 Nd 3.34-3.55, 2 Sm 3.43-3.53, 1 Er 3.54
Y  0.7960  0.7012  0.9504  5 Nd 3.34-3.55, 2 Sm 3.43-3.53, 1 Er 3.54
Er  0.4116  0.5884  0.7500  6 Nd 3.47-3.55, 2 Y 3.54
Er  0.5884  0.4116  0.2500  6 Nd 3.47-3.55, 2 Y 3.54

## Properties
- Symmetry: C2/c (15)
- Energy of formation: 0.117 eV/atom
- Density of states at the Fermi level: 1.4809 states/eV per atom
- Volume: 688 Å³ per cell

***

# 9
Computed, not measured: Nd6Sm2Y3Er after structural relaxation at the PBE level of DFT.

a = 6.3039 Å, b = 6.3039 Å, c = 11.9498 Å
α = 95.03°, β = 95.03°, γ = 120.00°
Closest atoms and distances in Å follow each position.
Fractional positions:
Nd  0.0837  0.4162  0.7504  3 Y 3.61-3.62, 1 Er 3.62, 2 Sm 3.62, 6 Nd 3.63-3.64
Nd  0.2489  0.2489  0.2493  3 Y 3.61, 1 Er 3.62, 2 Sm 3.62, 6 Nd 3.63-3.64
Nd  0.4162  0.0837  0.7504  3 Y 3.61-3.62, 1 Er 3.62, 2 Sm 3.62, 6 Nd 3.63-3.64
Nd  0.5838  0.9163  0.2496  3 Y 3.61-3.62, 1 Er 3.62, 2 Sm 3.62, 6 Nd 3.63-3.64
Nd  0.7511  0.7511  0.7507  3 Y 3.61, 1 Er 3.62, 2 Sm 3.62, 6 Nd 3.63-3.64
Nd  0.9163  0.5838  0.2496  3 Y 3.61-3.62, 1 Er 3.62, 2 Sm 3.62, 6 Nd 3.63-3.64
Sm  0.3332  0.6668  0.5000  6 Nd 3.62, 3 Sm 3.64, 3 Er 3.64
Sm  0.6668  0.3332  0.5000  6 Nd 3.62, 3 Sm 3.64, 3 Er 3.64
Y  0.1665  0.8335  0.0000  6 Nd 3.61-3.62, 6 Y 3.64
Y  0.5000  0.5000  0.0000  6 Nd 3.61, 6 Y 3.64
Y  0.8335  0.1665  0.0000  6 Nd 3.61-3.62, 6 Y 3.64
Er  0.0000  0.0000  0.5000  6 Nd 3.62, 6 Sm 3.64

## Properties
- Symmetry: C2/m (12)
- Energy of formation: 0.010 eV/atom
- Density of states at the Fermi level: 1.2320 states/eV per atom
- Volume: 405 Å³ per cell

***

# 10
Computed, not measured: NdSmY3Er after structural relaxation at the PBE level of DFT.

a = 8.0271 Å, b = 8.0271 Å, c = 10.1503 Å
α = 90.00°, β = 90.00°, γ = 143.14°
Closest atoms and distances in Å follow each position.
Fractional positions:
Nd  0.0000  0.0000  0.0000  4 Sm 3.59, 2 Er 3.59, 6 Y 3.60
Nd  0.0000  0.0000  0.5000  4 Sm 3.59, 2 Er 3.59, 6 Y 3.60
Sm  0.4992  0.5008  0.7500  2 Er 3.59, 6 Y 3.59-3.61, 4 Nd 3.59
Sm  0.5008  0.4992  0.2500  2 Er 3.59, 6 Y 3.59-3.61, 4 Nd 3.59
Y  0.1678  0.8322  0.7500  6 Y 3.57-3.59, 2 Er 3.57, 2 Nd 3.60, 2 Sm 3.61
Y  0.3325  0.6675  0.9996  5 Y 3.57-3.59, 3 Er 3.58-3.59, 2 Sm 3.59-3.61, 2 Nd 3.60
Y  0.3325  0.6675  0.5004  5 Y 3.57-3.59, 3 Er 3.58-3.59, 2 Sm 3.59-3.61, 2 Nd 3.60
Y  0.6675  0.3325  0.0004  5 Y 3.57-3.59, 3 Er 3.58-3.59, 2 Sm 3.59-3.61, 2 Nd 3.60
Y  0.6675  0.3325  0.4996  5 Y 3.57-3.59, 3 Er 3.58-3.59, 2 Sm 3.59-3.61, 2 Nd 3.60
Y  0.8322  0.1678  0.2500  6 Y 3.57-3.59, 2 Er 3.57, 2 Nd 3.60, 2 Sm 3.61
Er  0.1672  0.8328  0.2500  8 Y 3.57-3.59, 2 Sm 3.59, 2 Nd 3.59
Er  0.8328  0.1672  0.7500  8 Y 3.57-3.59, 2 Sm 3.59, 2 Nd 3.59

## Properties
- Symmetry: Cmcm (63)
- Energy of formation: 0.021 eV/atom
- Density of states at the Fermi level: 1.4604 states/eV per atom
- Volume: 392 Å³ per cell